Entry from the Alexandria database: NpGa2Co2C after structural relaxation (PBE).

Computed properties:
The volume comes out at 15.638 Å³/atom. The density of states at the Fermi level comes out at 25.38 states/eV per cell. The energy of formation is 0.0384 eV per atom.

Cell and atoms, written as CIF:
```
data_NpGa2Co2C
_cell_length_a 3.9154
_cell_length_b 3.9154
_cell_length_c 12.2406
_cell_angle_alpha 90.00
_cell_angle_beta 90.00
_cell_angle_gamma 90.00
_symmetry_space_group_name_H-M 'I 4/m m m'
_symmetry_Int_Tables_number 139
_symmetry_space_group_name_Hall '-I 4 2'
loop_
_atom_site_label
_atom_site_type_symbol
_atom_site_fract_x
_atom_site_fract_y
_atom_site_fract_z
Np1 Np 0.0000 0.0000 0.0000
Ga1 Ga 0.0000 0.5000 0.2500
Co1 Co 0.0000 0.0000 0.3601
C1 C 0.0000 0.0000 0.5000
```

=====

Entry from the Alexandria database: NpGaCo2C after structural relaxation (PBE).

Computed properties:
The volume comes out at 13.797 Å³/atom. The density of states at the Fermi level comes out at 42.17 states/eV per cell. The energy of formation is -0.0878 eV per atom.

Cell and atoms, written as CIF:
```
data_NpGaCo2C
_cell_length_a 3.7579
_cell_length_b 10.8353
_cell_length_c 6.7767
_cell_angle_alpha 90.00
_cell_angle_beta 90.00
_cell_angle_gamma 90.00
_symmetry_space_group_name_H-M 'C m c m'
_symmetry_Int_Tables_number 63
_symmetry_space_group_name_Hall '-C 2c 2'
loop_
_atom_site_label
_atom_site_type_symbol
_atom_site_fract_x
_atom_site_fract_y
_atom_site_fract_z
Np1 Np 0.0000 0.0502 0.2500
Ga1 Ga 0.0000 0.2273 0.7500
Co1 Co 0.0000 0.3391 0.0560
C1 C 0.0000 0.5000 0.0000
```

=====

Entry from the Alexandria database: PaGa2Co2C after structural relaxation (PBE).

Computed properties:
The volume comes out at 15.324 Å³/atom. The density of states at the Fermi level comes out at 10.25 states/eV per cell. The energy of formation is -0.1463 eV per atom.

Cell and atoms, written as CIF:
```
data_PaGa2Co2C
_cell_length_a 3.6788
_cell_length_b 3.6788
_cell_length_c 13.5875
_cell_angle_alpha 90.00
_cell_angle_beta 90.00
_cell_angle_gamma 90.00
_symmetry_space_group_name_H-M 'I 4/m m m'
_symmetry_Int_Tables_number 139
_symmetry_space_group_name_Hall '-I 4 2'
loop_
_atom_site_label
_atom_site_type_symbol
_atom_site_fract_x
_atom_site_fract_y
_atom_site_fract_z
Pa1 Pa 0.0000 0.0000 0.0000
Ga1 Ga 0.0000 0.5000 0.2500
Co1 Co 0.0000 0.0000 0.3703
C1 C 0.0000 0.0000 0.5000
```

=====

Entry from the Alexandria database: Pm2Ga3Co5C2 after structural relaxation (PBE).

Computed properties:
The volume comes out at 14.112 Å³/atom. The density of states at the Fermi level comes out at 13.28 states/eV per cell. The energy of formation is -0.2273 eV per atom.

Cell and atoms, written as CIF:
```
data_Pm2Ga3Co5C2
_cell_length_a 3.8657
_cell_length_b 3.8657
_cell_length_c 22.6647
_cell_angle_alpha 90.00
_cell_angle_beta 90.00
_cell_angle_gamma 90.00
_symmetry_space_group_name_H-M 'I 4/m m m'
_symmetry_Int_Tables_number 139
_symmetry_space_group_name_Hall '-I 4 2'
loop_
_atom_site_label
_atom_site_type_symbol
_atom_site_fract_x
_atom_site_fract_y
_atom_site_fract_z
Pm1 Pm 0.0000 0.0000 0.1970
Ga1 Ga 0.0000 0.0000 0.3524
Ga2 Ga 0.0000 0.0000 0.5000
Co1 Co 0.0000 0.0000 0.0000
Co2 Co 0.0000 0.5000 0.0787
C1 C 0.0000 0.0000 0.0833
```

=====

Entry from the Alexandria database: Pr2GaCoC after structural relaxation (PBE).

Computed properties:
The volume comes out at 21.319 Å³/atom. The density of states at the Fermi level comes out at 9.40 states/eV per cell. The energy of formation is -0.2632 eV per atom.

Cell and atoms, written as CIF:
```
data_Pr2GaCoC
_cell_length_a 6.3987
_cell_length_b 4.0593
_cell_length_c 8.7444
_cell_angle_alpha 90.00
_cell_angle_beta 110.18
_cell_angle_gamma 90.00
_symmetry_space_group_name_H-M 'P 1 21/m 1'
_symmetry_Int_Tables_number 11
_symmetry_space_group_name_Hall '-P 2yb'
loop_
_atom_site_label
_atom_site_type_symbol
_atom_site_fract_x
_atom_site_fract_y
_atom_site_fract_z
Pr1 Pr 0.2185 0.2500 0.3842
Pr2 Pr 0.2243 0.2500 0.9653
Ga1 Ga 0.3126 0.7500 0.7010
Co1 Co 0.4903 0.7500 0.2571
C1 C 0.1979 0.7500 0.1730
```

=====

Entry from the Alexandria database: Pr2Ga3Co5C2 after structural relaxation (PBE).

Computed properties:
The volume comes out at 14.416 Å³/atom. The density of states at the Fermi level comes out at 14.99 states/eV per cell. The energy of formation is -0.2051 eV per atom.

Cell and atoms, written as CIF:
```
data_Pr2Ga3Co5C2
_cell_length_a 3.8730
_cell_length_b 3.8730
_cell_length_c 23.0652
_cell_angle_alpha 90.00
_cell_angle_beta 90.00
_cell_angle_gamma 90.00
_symmetry_space_group_name_H-M 'I 4/m m m'
_symmetry_Int_Tables_number 139
_symmetry_space_group_name_Hall '-I 4 2'
loop_
_atom_site_label
_atom_site_type_symbol
_atom_site_fract_x
_atom_site_fract_y
_atom_site_fract_z
Pr1 Pr 0.0000 0.0000 0.1962
Ga1 Ga 0.0000 0.0000 0.3558
Ga2 Ga 0.0000 0.0000 0.5000
Co1 Co 0.0000 0.0000 0.0000
Co2 Co 0.0000 0.5000 0.0771
C1 C 0.0000 0.0000 0.0818
```

=====

Entry from the Alexandria database: PuGaCo2C after structural relaxation (PBE).

Computed properties:
The volume comes out at 13.972 Å³/atom. The density of states at the Fermi level comes out at 47.88 states/eV per cell. The energy of formation is -0.1864 eV per atom.

Cell and atoms, written as CIF:
```
data_PuGaCo2C
_cell_length_a 3.8161
_cell_length_b 10.7220
_cell_length_c 6.8294
_cell_angle_alpha 90.00
_cell_angle_beta 90.00
_cell_angle_gamma 90.00
_symmetry_space_group_name_H-M 'C m c m'
_symmetry_Int_Tables_number 63
_symmetry_space_group_name_Hall '-C 2c 2'
loop_
_atom_site_label
_atom_site_type_symbol
_atom_site_fract_x
_atom_site_fract_y
_atom_site_fract_z
Pu1 Pu 0.0000 0.0504 0.2500
Ga1 Ga 0.0000 0.2282 0.7500
Co1 Co 0.0000 0.3389 0.0593
C1 C 0.0000 0.5000 0.0000
```

=====

Entry from the Alexandria database: GaCo2RhC after structural relaxation (PBE).

Computed properties:
The volume comes out at 11.431 Å³/atom. The density of states at the Fermi level comes out at 2.58 states/eV per cell. The energy of formation is -0.0899 eV per atom.

Cell and atoms, written as CIF:
```
data_GaCo2RhC
_cell_length_a 3.7488
_cell_length_b 3.7488
_cell_length_c 4.0668
_cell_angle_alpha 90.00
_cell_angle_beta 90.00
_cell_angle_gamma 90.00
_symmetry_space_group_name_H-M 'P 4/m m m'
_symmetry_Int_Tables_number 123
_symmetry_space_group_name_Hall '-P 4 2'
loop_
_atom_site_label
_atom_site_type_symbol
_atom_site_fract_x
_atom_site_fract_y
_atom_site_fract_z
Ga1 Ga 0.0000 0.0000 0.0000
Co1 Co 0.0000 0.5000 0.5000
Rh1 Rh 0.5000 0.5000 0.0000
C1 C 0.5000 0.5000 0.5000
```

=====

Entry from the Alexandria database: GaCo2RuC after structural relaxation (PBE).

Computed properties:
The volume comes out at 11.373 Å³/atom. The density of states at the Fermi level comes out at 2.70 states/eV per cell. The energy of formation is -0.0631 eV per atom.

Cell and atoms, written as CIF:
```
data_GaCo2RuC
_cell_length_a 3.7626
_cell_length_b 3.7626
_cell_length_c 4.0167
_cell_angle_alpha 90.00
_cell_angle_beta 90.00
_cell_angle_gamma 90.00
_symmetry_space_group_name_H-M 'P 4/m m m'
_symmetry_Int_Tables_number 123
_symmetry_space_group_name_Hall '-P 4 2'
loop_
_atom_site_label
_atom_site_type_symbol
_atom_site_fract_x
_atom_site_fract_y
_atom_site_fract_z
Ga1 Ga 0.0000 0.0000 0.0000
Co1 Co 0.0000 0.5000 0.5000
Ru1 Ru 0.5000 0.5000 0.0000
C1 C 0.5000 0.5000 0.5000
```

=====

Entry from the Alexandria database: ScGaCo2C after structural relaxation (PBE).

Computed properties:
The volume comes out at 12.889 Å³/atom. The density of states at the Fermi level comes out at 4.70 states/eV per cell. The polymorph energy (0 for the lowest one) comes out at 199.0 meV per atom. The energy of formation is -0.1280 eV per atom.

Cell and atoms, written as CIF:
```
data_ScGaCo2C
_cell_length_a 3.8509
_cell_length_b 3.8509
_cell_length_c 4.3459
_cell_angle_alpha 90.00
_cell_angle_beta 90.00
_cell_angle_gamma 90.00
_symmetry_space_group_name_H-M 'P 4/m m m'
_symmetry_Int_Tables_number 123
_symmetry_space_group_name_Hall '-P 4 2'
loop_
_atom_site_label
_atom_site_type_symbol
_atom_site_fract_x
_atom_site_fract_y
_atom_site_fract_z
Sc1 Sc 0.0000 0.0000 0.0000
Ga1 Ga 0.5000 0.5000 0.0000
Co1 Co 0.0000 0.5000 0.5000
C1 C 0.0000 0.0000 0.5000
```

=====

Entry from the Alexandria database: Sc2GaCoC after structural relaxation (PBE).

Computed properties:
The volume comes out at 15.202 Å³/atom. The density of states at the Fermi level comes out at 4.47 states/eV per cell. The energy of formation is -0.4813 eV per atom.

Cell and atoms, written as CIF:
```
data_Sc2GaCoC
_cell_length_a 4.5472
_cell_length_b 4.5472
_cell_length_c 3.6759
_cell_angle_alpha 90.00
_cell_angle_beta 90.00
_cell_angle_gamma 90.00
_symmetry_space_group_name_H-M 'P 4/m m m'
_symmetry_Int_Tables_number 123
_symmetry_space_group_name_Hall '-P 4 2'
loop_
_atom_site_label
_atom_site_type_symbol
_atom_site_fract_x
_atom_site_fract_y
_atom_site_fract_z
Sc1 Sc 0.0000 0.5000 0.0000
Ga1 Ga 0.0000 0.0000 0.5000
Co1 Co 0.5000 0.5000 0.5000
C1 C 0.5000 0.5000 0.0000
```

=====

Entry from the Alexandria database: ScGaCo2C after structural relaxation (PBE).

Computed properties:
The volume comes out at 12.933 Å³/atom. The density of states at the Fermi level comes out at 11.77 states/eV per cell. The polymorph energy (0 for the lowest one) comes out at 0.0 meV per atom. The energy of formation is -0.3270 eV per atom.

Cell and atoms, written as CIF:
```
data_ScGaCo2C
_cell_length_a 3.5712
_cell_length_b 10.5785
_cell_length_c 6.8467
_cell_angle_alpha 90.00
_cell_angle_beta 90.00
_cell_angle_gamma 90.00
_symmetry_space_group_name_H-M 'C m c m'
_symmetry_Int_Tables_number 63
_symmetry_space_group_name_Hall '-C 2c 2'
loop_
_atom_site_label
_atom_site_type_symbol
_atom_site_fract_x
_atom_site_fract_y
_atom_site_fract_z
Sc1 Sc 0.0000 0.0399 0.2500
Ga1 Ga 0.0000 0.2376 0.7500
Co1 Co 0.0000 0.3408 0.0570
C1 C 0.0000 0.5000 0.0000
```

=====

Which of these has the highest energy of formation? NpGa2Co2C

=====

Which of these has the highest density of states at the Fermi level? PuGaCo2C

=====

Among the records above, which one has the lowest energy of formation? Sc2GaCoC